Entry from Alexandria via LeMat-Bulk: crystalline AcPmCr2O8 at its relaxed geometry (PBE+U).

```
AcPmCr2O8
1.0
5.701 0.000 0.000
-2.850 4.937 0.000
0.000 0.000 7.443
O Ac Cr Pm
8 1 2 1
Cartesian
2.846 3.306 2.053
1.415 0.812 2.053
1.435 4.125 5.390
0.000 3.291 0.150
4.290 0.820 2.053
-1.440 4.117 5.390
2.850 1.646 7.293
0.004 1.632 5.390
0.000 0.000 0.000
0.000 3.291 5.920
2.850 1.646 1.523
0.000 0.000 3.722
```

## Properties
- final energy (eV per atom) = -7.48
- crystal system = trigonal
- D(E_F) (states/eV/f.u.) = 8.17